Below is a geometry-optimized ZrScTi structure, with properties calculated at the PBE level.

The density of states at the Fermi level comes out at 13.8 states/eV per cell. As for the energy above the lowest structure with this stoichiometry: 32 meV/atom. The calculation puts the formation energy at 8.4 kJ/mol of atoms. The calculated total energy is -7.50 eV per atom. The size of the total moment is 0.000 μB per atom.

The space group is R3m (No. 160, hexagonal axes) and the conventional cell measures 3.1508, 3.1508 and 22.6311 Å, with angles of 90.00, 90.00 and 120.00 degrees. Symmetry generates all atoms from Zr at (0.0000, 0.0000, 0.0000), Sc at (0.0000, 0.0000, 0.7877) and Ti at (0.0000, 0.0000, 0.5620).



Below is a geometry-optimized Sr4LiNp3N8 structure, with properties calculated at the PBE level.

The density of states at the Fermi level comes out at 43.8 states/eV per cell. For the uncorrected formation energy, the calculation gives -914 meV per atom. The calculated total energy is -8.04 eV per atom. The size of the total moment is 0.375 μB per atom.

The space group is R-3m (No. 166, hexagonal axes) and the conventional cell measures 7.0552, 7.0552 and 17.6667 Å, with angles of 90.00, 90.00 and 120.00 degrees. Symmetry generates all atoms from Sr at (0.0000, 0.0000, 0.0000), Sr at (0.0000, 0.5000, 0.0000), Li at (0.0000, 0.0000, 0.5000), Np at (0.0000, 0.5000, 0.5000), N at (0.0000, 0.0000, 0.2357) and N at (0.0330, 0.5165, 0.7684).



Among the records above, which one has the highest size of the total moment?
Sr4LiNp3N8



Please write out number 2 again, unchanged.
Below is a geometry-optimized Sr4LiNp3N8 structure, with properties calculated at the PBE level.

The density of states at the Fermi level comes out at 43.8 states/eV per cell. For the uncorrected formation energy, the calculation gives -914 meV per atom. The calculated total energy is -8.04 eV per atom. The size of the total moment is 0.375 μB per atom.

The space group is R-3m (No. 166, hexagonal axes) and the conventional cell measures 7.0552, 7.0552 and 17.6667 Å, with angles of 90.00, 90.00 and 120.00 degrees. Symmetry generates all atoms from Sr at (0.0000, 0.0000, 0.0000), Sr at (0.0000, 0.5000, 0.0000), Li at (0.0000, 0.0000, 0.5000), Np at (0.0000, 0.5000, 0.5000), N at (0.0000, 0.0000, 0.2357) and N at (0.0330, 0.5165, 0.7684).



What is the size of the total moment in the first record?
0.000 μB per atom



The lowest calculated total energy belongs to which entry?
Sr4LiNp3N8